Here is crystalline YZn4Au8 at its relaxed geometry from the Alexandria database. Energies are from PBE-GGA.

```
YZn4Au8
1.0
7.412 0.262 0.187
3.802 6.368 0.187
3.802 2.248 5.961
Y Zn Au
1 4 8
direct
0.000 0.000 0.000 Y
0.500 0.500 0.500 Zn
0.500 0.500 0.000 Zn
0.000 0.500 0.500 Zn
0.500 0.000 0.500 Zn
0.849 0.260 0.260 Au
0.260 0.260 0.849 Au
0.260 0.849 0.260 Au
0.251 0.251 0.251 Au
0.749 0.749 0.749 Au
0.740 0.740 0.151 Au
0.740 0.151 0.740 Au
0.151 0.740 0.740 Au
```

Computed properties:
* total DFT energy (no corrections): -38.7 eV per formula unit

Here is crystalline AlInPb2 at its relaxed geometry from the Alexandria database. Energies are from PBE-GGA.

```
AlInPb2
1.0
-2.705 8.110 -6.028
-0.542 6.385 -8.267
-3.963 5.435 -8.011
Pb Al In
2 1 1
direct
0.991 0.991 0.991 Pb
0.509 0.509 0.509 Pb
0.250 0.250 0.250 Al
0.750 0.750 0.750 In
```

Computed properties:
* total DFT energy (no corrections): -13.2 eV per formula unit

Here is crystalline Tm3Cd4Hg4 at its relaxed geometry from the Alexandria database. Energies are from PBE-GGA.

```
Tm3Cd4Hg4
1.0
3.393 0.001 0.003
0.002 4.936 0.008
1.690 2.469 15.448
Tm Cd Hg
3 4 4
direct
0.139 0.640 0.722 Tm
0.861 0.360 0.278 Tm
0.000 0.000 0.000 Tm
0.592 0.091 0.818 Cd
0.267 0.266 0.467 Cd
0.733 0.734 0.533 Cd
0.408 0.909 0.182 Cd
0.549 0.547 0.906 Hg
0.451 0.453 0.094 Hg
0.319 0.817 0.364 Hg
0.681 0.183 0.636 Hg
```

Computed properties:
* total DFT energy (no corrections): -21.4 eV per formula unit

Here is crystalline HoErZnHg at its relaxed geometry from the Alexandria database. Energies are from PBE-GGA.

```
HoErZnHg
1.0
5.136 0.000 0.000
2.568 4.448 0.000
2.568 1.483 4.193
Ho Zn Hg Er
1 1 1 1
direct
0.750 0.750 0.750 Ho
0.000 0.000 0.000 Zn
0.500 0.500 0.500 Hg
0.250 0.250 0.250 Er
```

Computed properties:
* total DFT energy (no corrections): -12.3 eV per formula unit

Here is crystalline ZnSn2Hg at its relaxed geometry from the Alexandria database. Energies are from PBE-GGA.

```
ZnSn2Hg
1.0
-2.882 -0.722 -1.690
0.918 -3.289 -0.159
-3.865 -1.427 7.200
Zn Hg Sn
1 1 2
direct
0.500 0.500 0.000 Zn
0.500 0.500 0.500 Hg
0.000 0.000 0.777 Sn
0.000 0.000 0.223 Sn
```

Computed properties:
* total DFT energy (no corrections): -9.2 eV per formula unit

Here is crystalline Sb2PtAu at its relaxed geometry from the Alexandria database. Energies are from PBE-GGA.

```
Sb2PtAu
1.0
-2.160 -2.130 -0.131
0.627 -0.850 3.475
-5.266 5.203 2.223
Au Pt Sb
1 1 2
direct
0.500 0.500 0.250 Au
0.500 0.500 0.750 Pt
0.000 0.000 0.978 Sb
0.000 0.000 0.522 Sb
```

Computed properties:
* total DFT energy (no corrections): -17.7 eV per formula unit

Here is crystalline Re2Se at its relaxed geometry from the Alexandria database. Energies are from PBE-GGA.

```
Re2Se
1.0
7.309 7.671 0.702
4.069 9.337 3.004
-4.896 -9.423 -0.072
Re Se
4 2
direct
0.576 0.576 0.000 Re
0.174 0.674 0.500 Re
0.424 0.424 0.000 Re
0.326 0.826 0.500 Re
0.000 0.000 0.000 Se
0.750 0.250 0.500 Se
```

Computed properties:
* total DFT energy (no corrections): -26.0 eV per formula unit

Here is crystalline TaSiSe2 at its relaxed geometry from the Alexandria database. Energies are from PBE-GGA.

```
TaSiSe2
1.0
4.640 0.000 0.000
2.320 4.019 0.000
2.320 1.340 3.789
Se Si Ta
2 1 1
direct
0.000 0.000 0.000 Se
0.750 0.750 0.750 Se
0.500 0.500 0.500 Si
0.250 0.250 0.250 Ta
```

Computed properties:
* total DFT energy (no corrections): -22.2 eV per formula unit

Here is crystalline Ac3SiIr3 at its relaxed geometry from the Alexandria database. Energies are from PBE-GGA.

```
Ac3SiIr3
1.0
-0.527 -0.453 6.370
9.579 -1.482 -2.535
2.142 12.076 1.037
Ac Si Ir
12 4 12
direct
0.671 0.000 0.851 Ac
0.829 0.000 0.351 Ac
0.171 0.000 0.649 Ac
0.329 0.000 0.149 Ac
0.007 0.645 0.367 Ac
0.493 0.355 0.867 Ac
0.862 0.355 0.133 Ac
0.638 0.645 0.633 Ac
0.993 0.355 0.633 Ac
0.507 0.645 0.133 Ac
0.138 0.645 0.867 Ac
0.362 0.355 0.367 Ac
0.414 0.828 0.500 Si
0.086 0.172 0.000 Si
0.586 0.172 0.500 Si
0.914 0.828 0.000 Si
0.186 0.000 0.900 Ir
0.314 0.000 0.400 Ir
0.686 0.000 0.600 Ir
0.814 0.000 0.100 Ir
0.539 0.681 0.384 Ir
0.961 0.319 0.884 Ir
0.358 0.319 0.116 Ir
0.142 0.681 0.616 Ir
0.461 0.319 0.616 Ir
0.039 0.681 0.116 Ir
0.642 0.681 0.884 Ir
0.858 0.319 0.384 Ir
```

Computed properties:
* total DFT energy (no corrections): -48.9 eV per formula unit

Here is crystalline Sc3SiNi3 at its relaxed geometry from the Alexandria database. Energies are from PBE-GGA.

```
Sc3SiNi3
1.0
-4.888 1.325 -0.642
-4.340 -2.057 -1.729
-6.701 -4.669 11.145
Ni Sc Si
6 6 2
direct
0.156 0.156 0.468 Ni
0.844 0.844 0.532 Ni
0.893 0.893 0.075 Ni
0.107 0.107 0.925 Ni
0.029 0.029 0.770 Ni
0.971 0.971 0.230 Ni
0.490 0.490 0.383 Sc
0.510 0.510 0.617 Sc
0.739 0.739 0.775 Sc
0.261 0.261 0.225 Sc
0.608 0.608 0.076 Sc
0.392 0.392 0.924 Sc
0.225 0.225 0.620 Si
0.775 0.775 0.380 Si
```

Computed properties:
* total DFT energy (no corrections): -46.0 eV per formula unit

Here is crystalline Ac2Ti3O8 at its relaxed geometry from the Alexandria database. Energies are from PBE-GGA.

```
Ac2Ti3O8
1.0
3.957 0.000 0.000
0.000 3.957 0.000
0.000 0.000 11.215
Ac Ti O
2 3 8
direct
0.000 0.000 0.193 Ac
0.000 0.000 0.807 Ac
0.500 0.500 0.364 Ti
0.500 0.500 0.000 Ti
0.500 0.500 0.636 Ti
0.500 0.000 0.348 O
0.000 0.500 0.348 O
0.000 0.500 0.000 O
0.500 0.500 0.176 O
0.500 0.000 0.652 O
0.000 0.500 0.652 O
0.500 0.500 0.824 O
0.500 0.000 0.000 O
```

Computed properties:
* total DFT energy (no corrections): -111.3 eV per formula unit

Here is crystalline Ca3As5 at its relaxed geometry from the Alexandria database. Energies are from PBE-GGA.

```
Ca3As5
1.0
-4.092 6.684 -1.745
2.638 -7.551 -3.905
-6.172 -4.663 5.374
As Ca
10 6
direct
0.927 0.646 0.447 As
0.047 0.454 0.532 As
0.826 0.066 0.925 As
0.170 0.937 0.118 As
0.513 0.395 0.212 As
0.296 0.311 0.571 As
0.608 0.155 0.803 As
0.358 0.815 0.218 As
0.253 0.449 0.356 As
0.807 0.665 0.671 As
0.818 0.914 0.207 Ca
0.285 0.192 0.870 Ca
0.463 0.137 0.466 Ca
0.656 0.905 0.599 Ca
0.174 0.661 0.862 Ca
0.792 0.296 0.145 Ca
```

Computed properties:
* total DFT energy (no corrections): -34.9 eV per formula unit

Look up the total DFT energy (no corrections) of the eleventh one. -111.3 eV per formula unit

Which of these has the lowest total DFT energy (no corrections)? Ac2Ti3O8